The following is a GGA+U calculation of NpIn2NiO8 after structural relaxation, from the Alexandria database.

a b c (Å): 4.9363 4.9233 6.5429
angles (deg): 86.73 93.25 93.37
Closest atoms and distances in Å follow each position.
Fractional positions:
Np: 0.0000 0.0000 0.0000  6 O 1.91-2.14
In: 0.4744 0.5257 0.7357  5 O 2.12-2.20
In: 0.5256 0.4743 0.2643  5 O 2.12-2.20
Ni: 0.0000 0.0000 0.5000  4 O 1.93-1.96
O: 0.1916 0.8039 0.2176  1 Np 1.91
O: 0.6942 0.6992 0.9999  1 Np 2.05, 2 In 2.18
O: 0.8334 0.1711 0.2550  1 Ni 1.93, 1 Np 2.14
O: 0.8084 0.1961 0.7824  1 Np 1.91
O: 0.3058 0.3008 0.0001  1 Np 2.05, 2 In 2.18
O: 0.1666 0.8289 0.7450  1 Ni 1.93, 1 Np 2.14
O: 0.7085 0.7134 0.4995  1 Ni 1.96, 2 In 2.12
O: 0.2915 0.2866 0.5005  1 Ni 1.96, 2 In 2.12

Properties
- E: -6.701 eV per atom
- Volume: 13.19 Å³/atom
- Magnetic moment: 0.97 μB per formula unit
- Symmetry: No. 2